LaSi2Ni PBE-GGA optimized geometry; energy relative to the elements, uncorrected = -6.8 kcal/mol of atoms; E_tot = -45.47 eV per cell; magnetization = 0.00 μB per formula unit
1.0
4.260 0.000 0.000
0.000 4.848 0.000
0.000 0.000 6.845
La Si Ni
2 4 2
direct
0.000 0.000 0.000 La
0.500 0.500 0.000 La
0.000 0.500 0.325 Si
0.000 0.500 0.675 Si
0.500 0.000 0.325 Si
0.500 0.000 0.675 Si
0.000 0.000 0.500 Ni
0.500 0.500 0.500 Ni